<P>
Computed, not measured: Pm3Nd8Sc2 after structural relaxation at the PBE-GGA level of DFT.

```
Pm3Nd8Sc2
1.0
6.576 -5.878 0.000
6.576 5.878 0.000
-2.515 0.000 5.651
Pm Nd Sc
3 8 2
Direct
0.000 0.000 0.000
0.244 0.756 0.500
0.756 0.244 0.500
0.080 0.570 0.829
0.156 0.156 0.557
0.430 0.920 0.171
0.447 0.447 0.707
0.553 0.553 0.293
0.570 0.080 0.829
0.844 0.844 0.443
0.920 0.430 0.171
0.287 0.287 0.146
0.713 0.713 0.854
```

<Q>
Computed, not measured: Pm3Nd8Sc2 after structural relaxation at the PBE-GGA level of DFT.

```
Pm3Nd8Sc2
1.0
9.989 -3.905 0.000
9.989 3.905 0.000
-0.003 0.000 5.765
Pm Nd Sc
3 8 2
Direct
0.000 0.000 0.000
0.289 0.711 0.500
0.711 0.289 0.500
0.135 0.135 0.500
0.181 0.594 0.000
0.320 0.320 0.499
0.406 0.819 0.000
0.594 0.181 0.000
0.680 0.680 0.501
0.819 0.406 0.000
0.865 0.865 0.500
0.240 0.240 0.999
0.760 0.760 0.001
```

Least stable = <Q>

<P>
Computed, not measured: PmNd6Sc2 after structural relaxation at the PBE-GGA level of DFT.

```
PmNd6Sc2
1.0
8.085 0.000 0.000
0.000 8.085 0.000
0.000 0.000 10.422
Pm Nd Sc
2 12 4
Direct
0.000 0.000 0.000
0.500 0.500 0.500
0.232 0.232 0.500
0.242 0.242 0.169
0.242 0.242 0.831
0.258 0.742 0.331
0.258 0.742 0.669
0.268 0.732 0.000
0.732 0.268 0.000
0.742 0.258 0.331
0.742 0.258 0.669
0.758 0.758 0.169
0.758 0.758 0.831
0.768 0.768 0.500
0.000 0.000 0.337
0.000 0.000 0.663
0.500 0.500 0.163
0.500 0.500 0.837
```

<Q>
Computed, not measured: PmNd6Sc2 after structural relaxation at the PBE-GGA level of DFT.

```
PmNd6Sc2
1.0
5.346 -5.091 0.000
5.346 5.091 0.000
-5.177 0.000 10.847
Pm Nd Sc
2 12 4
Direct
0.205 0.795 0.750
0.795 0.205 0.250
0.100 0.877 0.105
0.123 0.900 0.395
0.195 0.479 0.434
0.289 0.371 0.154
0.371 0.289 0.654
0.479 0.195 0.934
0.521 0.805 0.066
0.629 0.711 0.346
0.711 0.629 0.846
0.805 0.521 0.566
0.877 0.100 0.605
0.900 0.123 0.895
0.134 0.472 0.869
0.472 0.134 0.369
0.528 0.866 0.631
0.866 0.528 0.131
```

Least stable = <P>

<P>
Computed, not measured: Pm4Nd7Sc after structural relaxation at the PBE-GGA level of DFT.

```
Pm4Nd7Sc
1.0
8.212 -3.012 0.000
8.212 3.012 0.000
-4.231 0.000 8.436
Pm Nd Sc
4 7 1
Direct
0.085 0.085 0.448
0.209 0.209 0.229
0.791 0.791 0.771
0.915 0.915 0.552
0.000 0.000 0.000
0.218 0.218 0.880
0.333 0.333 0.615
0.427 0.427 0.289
0.573 0.573 0.711
0.667 0.667 0.385
0.782 0.782 0.120
0.500 0.500 0.000
```

<Q>
Computed, not measured: Pm4Nd7Sc after structural relaxation at the PBE-GGA level of DFT.

```
Pm4Nd7Sc
1.0
6.336 0.000 0.000
0.003 7.327 0.000
2.129 0.007 8.831
Pm Nd Sc
4 7 1
Direct
0.225 0.254 0.327
0.274 0.000 0.666
0.726 0.000 0.334
0.775 0.746 0.673
0.000 0.253 0.000
0.000 0.747 0.000
0.224 0.747 0.328
0.282 0.500 0.669
0.500 0.000 0.000
0.718 0.500 0.331
0.776 0.253 0.672
0.500 0.500 0.000
```

Least stable = <P>

<P>
Computed, not measured: Pm4Nd5Sc after structural relaxation at the PBE-GGA level of DFT.

```
Pm4Nd5Sc
1.0
3.659 0.000 0.000
0.000 3.659 0.000
0.000 0.000 25.306
Pm Nd Sc
4 5 1
Direct
0.000 0.000 0.103
0.000 0.000 0.308
0.000 0.000 0.692
0.000 0.000 0.897
0.500 0.500 0.000
0.500 0.500 0.205
0.500 0.500 0.410
0.500 0.500 0.590
0.500 0.500 0.795
0.000 0.000 0.500
```

<Q>
Computed, not measured: Pm4Nd5Sc after structural relaxation at the PBE-GGA level of DFT.

```
Pm4Nd5Sc
1.0
8.723 -1.797 0.000
8.723 1.797 0.000
-3.854 0.000 10.845
Pm Nd Sc
4 5 1
Direct
0.084 0.084 0.299
0.396 0.396 0.207
0.604 0.604 0.793
0.916 0.916 0.701
0.191 0.191 0.084
0.206 0.206 0.610
0.500 0.500 0.000
0.794 0.794 0.390
0.809 0.809 0.916
0.500 0.500 0.500
```

Least stable = <Q>